Compound: GaBr
Source: Alexandria
Functional: GGA-PBE
Structure: relaxed

```
data_GaBr
_chemical_formula_sum 'Ga6 Br6'
_symmetry_space_group_name_H-M 'P 1'
_symmetry_Int_Tables_number 1
_symmetry_space_group_name_Hall 'P 1'
_cell_length_a 8.572
_cell_length_b 8.572
_cell_length_c 8.572
_cell_angle_alpha 90.00
_cell_angle_beta 90.00
_cell_angle_gamma 90.00
loop_
_atom_site_label
_atom_site_type_symbol
_atom_site_fract_x
_atom_site_fract_y
_atom_site_fract_z
Br1 Br 0.750 0.500 0.000
Br2 Br 0.000 0.750 0.500
Br3 Br 0.500 0.000 0.750
Br4 Br 0.250 0.500 0.000
Br5 Br 0.500 0.000 0.250
Br6 Br 0.000 0.250 0.500
Ga1 Ga 0.500 0.250 0.000
Ga2 Ga 0.750 0.000 0.500
Ga3 Ga 0.250 0.000 0.500
Ga4 Ga 0.500 0.750 0.000
Ga5 Ga 0.000 0.500 0.750
Ga6 Ga 0.000 0.500 0.250
```

Calculated values
* uncorrected formation energy: -0.9 eV/f.u.
* E: -2.7920 eV per atom
* total magnetization: 0.00 μB/atom

=====

Compound: PuCl2F5
Source: Alexandria
Functional: GGA-PBE
Structure: relaxed

```
data_PuCl2F5
_chemical_formula_sum 'Pu1 Cl2 F5'
_symmetry_space_group_name_H-M 'P 1'
_symmetry_Int_Tables_number 1
_symmetry_space_group_name_Hall 'P 1'
_cell_length_a 6.937
_cell_length_b 5.457
_cell_length_c 7.713
_cell_angle_alpha 93.71
_cell_angle_beta 131.54
_cell_angle_gamma 107.26
loop_
_atom_site_label
_atom_site_type_symbol
_atom_site_fract_x
_atom_site_fract_y
_atom_site_fract_z
F1 F 0.823 0.748 0.073
F2 F 0.796 0.771 0.684
F3 F 0.150 0.377 0.955
F4 F 0.361 0.030 0.228
F5 F 0.615 0.103 0.805
Pu1 Pu 0.978 0.054 0.002
Cl1 Cl 0.208 0.427 0.444
Cl2 Cl 0.846 0.268 0.365
```

Calculated values
* uncorrected formation energy: -18.1 eV/f.u.
* E: -5.6856 eV per atom
* total magnetization: 0.37 μB/atom